Computed, not measured: a relaxed TeMo2O8 crystal at the PBE with a Hubbard U level of DFT.

Calculated values
* calculated total energy: -0.4702 Ry per atom
* space group: C2/m, No. 12

a b c (Å): 5.508 6.660 6.660
angles (deg): 67.41 80.60 80.60
Positions (direct):
Mo1 0.336 0.186 0.186
O1 0.188 0.931 0.293
Mo2 0.664 0.814 0.814
O2 0.752 0.656 0.656
O3 0.248 0.344 0.344
O4 0.812 0.069 0.707
O5 0.188 0.293 0.931
O6 0.812 0.707 0.069
Te1 0.000 0.000 0.000
O7 0.679 0.141 0.141
O8 0.321 0.859 0.859